No. 1
Crystalline Nd4SiAsS2 at its relaxed geometry, computed with PBE.

The structure in CIF format:
```
data_Nd4SiAsS2
_cell_length_a 7.230
_cell_length_b 4.193
_cell_length_c 7.269
_cell_angle_alpha 90.00
_cell_angle_beta 109.51
_cell_angle_gamma 90.00
_space_group_name_H-M_alt 'P 1 2/m 1'
_space_group_IT_number 10
loop_
_space_group_symop_operation_xyz
'x,y,z'
'-x,-y,-z'
'-x,y,-z'
'x,-y,z'
loop_
_atom_site_label
_atom_site_fract_x
_atom_site_fract_y
_atom_site_fract_z
Nd1 0.249 0.000 0.247
Nd2 0.249 0.500 0.753
Si1 0.000 0.500 0.000
As1 0.000 0.000 0.500
S1 0.500 0.000 0.000
S2 0.500 0.500 0.500
```

Computed properties:
Raw formation energy   -1.59 eV per atom
Final energy   -6.267 eV/atom

=====

No. 2
Crystalline TaAlTl at its relaxed geometry, computed with PBE.

The structure in CIF format:
```
data_TaAlTl
_cell_length_a 6.579
_cell_length_b 6.579
_cell_length_c 6.579
_cell_angle_alpha 90.00
_cell_angle_beta 90.00
_cell_angle_gamma 90.00
_space_group_name_H-M_alt 'F -4 3 m'
_space_group_IT_number 216
_space_group_name_Hall 'F -4 2 3'
loop_
_atom_site_label
_atom_site_fract_x
_atom_site_fract_y
_atom_site_fract_z
Ta1 0.000 0.000 0.000
Al1 0.250 0.250 0.750
Tl1 0.250 0.250 0.250
```

Computed properties:
Formation enthalpy at 0 K   878 meV/atom
Relative energy among the computed polymorphs   0.581 eV per atom
Final energy   -5.109 eV/atom

=====

No. 3
Crystalline TmHfCuRe at its relaxed geometry, computed with PBE.

The structure in CIF format:
```
data_TmHfCuRe
_cell_length_a 6.648
_cell_length_b 6.648
_cell_length_c 6.648
_cell_angle_alpha 90.00
_cell_angle_beta 90.00
_cell_angle_gamma 90.00
_space_group_name_H-M_alt 'F -4 3 m'
_space_group_IT_number 216
_space_group_name_Hall 'F -4 2 3'
loop_
_atom_site_label
_atom_site_fract_x
_atom_site_fract_y
_atom_site_fract_z
Tm1 0.000 0.000 0.000
Hf1 0.000 0.000 0.500
Cu1 0.250 0.250 0.750
Re1 0.250 0.250 0.250
```

Computed properties:
Formation enthalpy at 0 K   -150 meV/atom
Final energy   -7.893 eV/atom

=====

No. 4
Crystalline Tb4Dy11Ho9 at its relaxed geometry, computed with PBE.

The structure in CIF format:
```
data_Tb4Dy11Ho9
_cell_length_a 16.587
_cell_length_b 24.984
_cell_length_c 3.643
_cell_angle_alpha 90.00
_cell_angle_beta 90.00
_cell_angle_gamma 90.00
_space_group_name_H-M_alt 'C m m m'
_space_group_IT_number 65
_space_group_name_Hall '-C 2 2'
loop_
_atom_site_label
_atom_site_fract_x
_atom_site_fract_y
_atom_site_fract_z
Tb1 0.155 0.101 0.000
Dy1 0.000 0.133 0.500
Dy2 0.000 0.341 0.500
Dy3 0.000 0.500 0.500
Dy4 0.208 0.000 0.500
Dy5 0.226 0.319 0.500
Ho1 0.000 0.000 0.000
Ho2 0.102 0.235 0.000
Ho3 0.141 0.427 0.000
```

Computed properties:
Formation enthalpy at 0 K   52 meV/atom
Final energy   -4.546 eV/atom